Pa2PbBr8 | PBE-GGA | optimized geometry

Unit cell a=9.5259 b=12.5496 c=9.5263 alpha=90.00 beta=93.30 gamma=90.00
Closest atoms and distances in Å follow each position.
Space group C2/m (No. 12)
Symmetry-distinct sites (fractional):
Pa 0.1245 0.0000 0.3085 (multiplicity 4)  5 Br 2.67-2.97
Pb 0.0000 0.0000 0.0000 (multiplicity 2)  2 Pa 3.11, 4 Br 3.39
Br 0.0861 0.2034 0.2226 (multiplicity 8)  1 Pa 2.70
Br 0.0987 0.5000 0.7236 (multiplicity 4)  1 Pa 2.67
Br 0.1706 0.0000 0.6078 (multiplicity 4)  2 Pa 2.86-2.97

Computed properties:
E_form (uncorrected) = -1134 meV per atom
spin magnetization = 0.5 μB/f.u.
raw total energy = -97.12 eV per cell